(1)
## PuMnInFe (PBE)

Data for crystalline PuMnInFe at its relaxed geometry.

a = 6.531 Å, b = 6.531 Å, c = 6.531 Å
α = 90.00°, β = 90.00°, γ = 90.00°
Space group F-43m (No. 216)
Unique sites:
Pu  0.000  0.000  0.000 x4
Mn  0.250  0.250  0.750 x4
In  0.000  0.000  0.500 x4
Fe  0.250  0.250  0.250 x4

Properties
Its total energy is -8.618 eV per atom.

=====

(2)
## Mn2InFeSi (PBE)

Data for crystalline Mn2InFeSi at its relaxed geometry.

a = 4.455 Å, b = 4.455 Å, c = 4.262 Å
α = 90.00°, β = 90.00°, γ = 90.00°
Space group P4/mmm (No. 123)
Unique sites:
Mn  0.000  0.500  0.000 x2
In  0.000  0.000  0.500 x1
Fe  0.500  0.500  0.500 x1
Si  0.500  0.500  0.000 x1

Properties
The value obtained for the raw formation energy is 431 meV per atom. Its total energy is -6.562 eV per atom.

=====

(3)
## MnInFeTe2 (PBE)

Data for crystalline MnInFeTe2 at its relaxed geometry.

a = 5.142 Å, b = 5.142 Å, c = 4.949 Å
α = 90.00°, β = 90.00°, γ = 90.00°
Space group P4/mmm (No. 123)
Unique sites:
Mn  0.000  0.000  0.000 x1
In  0.000  0.000  0.500 x1
Fe  0.500  0.500  0.500 x1
Te  0.000  0.500  0.000 x2

Properties
The value obtained for the raw formation energy is 753 meV per atom. Its total energy is -4.577 eV per atom.

=====

(4)
## ZrMnIn2Fe (PBE)

Data for crystalline ZrMnIn2Fe at its relaxed geometry.

a = 4.921 Å, b = 4.921 Å, c = 4.638 Å
α = 90.00°, β = 90.00°, γ = 90.00°
Space group P4/mmm (No. 123)
Unique sites:
Zr  0.000  0.000  0.000 x1
Mn  0.500  0.500  0.000 x1
In  0.000  0.500  0.500 x2
Fe  0.000  0.000  0.500 x1

Properties
Its total energy is -5.884 eV per atom.

=====

(5)
## InFeMo2 (PBE)

Data for crystalline InFeMo2 at its relaxed geometry.

a = 6.349 Å, b = 6.349 Å, c = 6.349 Å
α = 90.00°, β = 90.00°, γ = 90.00°
Space group F-43m (No. 216)
Unique sites:
In  0.000  0.000  0.000 x4
Fe  0.250  0.250  0.750 x4
Mo  0.000  0.000  0.500 x4
Mo  0.250  0.250  0.250 x4

Properties
Its total energy is -7.833 eV per atom.

=====

(6)
## InFe3Mo (PBE)

Data for crystalline InFe3Mo at its relaxed geometry.

a = 4.690 Å, b = 4.690 Å, c = 4.690 Å
α = 90.00°, β = 90.00°, γ = 90.00°
Space group Pm-3m (No. 221)
Unique sites:
In  0.000  0.000  0.000 x1
Fe  0.000  0.000  0.500 x3
Mo  0.500  0.500  0.500 x1

Properties
Its total energy is -5.855 eV per atom.

=====

(7)
## InFeMo3 (PBE)

Data for crystalline InFeMo3 at its relaxed geometry.

a = 4.503 Å, b = 4.503 Å, c = 4.503 Å
α = 90.00°, β = 90.00°, γ = 90.00°
Space group Pm-3m (No. 221)
Unique sites:
In  0.000  0.000  0.000 x1
Fe  0.500  0.500  0.500 x1
Mo  0.000  0.500  0.500 x3

Properties
Its total energy is -7.775 eV per atom.

=====

(8)
## InFeMo2 (PBE)

Data for crystalline InFeMo2 at its relaxed geometry.

a = 3.837 Å, b = 3.837 Å, c = 8.620 Å
α = 90.00°, β = 90.00°, γ = 90.00°
Space group I4/mmm (No. 139)
Unique sites:
In  0.000  0.000  0.000 x2
Fe  0.000  0.000  0.500 x2
Mo  0.000  0.500  0.250 x4

Properties
Its total energy is -7.936 eV per atom.